[1]
The following is a DFT calculation (PBE) of K2ReH9 after structural relaxation.

Unit cell a=9.2772 b=9.2772 c=5.3863 alpha=90.00 beta=90.00 gamma=120.00
With the nearest neighbours (Å) after each atom.
Fractional positions:
K 0.0000 0.5889 0.0000  14 H 2.83-2.92
H 0.0000 0.8680 0.2206  1 Re 1.71
H 0.0000 0.8680 0.7794  1 Re 1.71
H 0.8663 0.4895 0.5000  1 Re 1.69
H 0.7754 0.3018 0.2694  1 Re 1.71
H 0.7754 0.3018 0.7306  1 Re 1.71
H 0.1321 0.1321 0.7793  1 Re 1.71
H 0.3018 0.7754 0.7306  1 Re 1.71
H 0.1825 0.0000 0.0000  1 Re 1.69
H 0.1337 0.6232 0.5000  1 Re 1.69
H 0.8177 0.8177 0.0000  1 Re 1.69
H 0.8680 0.0000 0.7794  1 Re 1.71
Re 0.3333 0.6667 0.5000  9 H 1.69-1.72
H 0.5104 0.3768 0.5000  1 Re 1.69
H 0.0000 0.1825 0.0000  1 Re 1.69
H 0.4895 0.8663 0.5000  1 Re 1.69
H 0.6232 0.1337 0.5000  1 Re 1.69
H 0.4737 0.6982 0.2694  1 Re 1.72
H 0.5263 0.2245 0.2693  1 Re 1.72
H 0.8680 0.0000 0.2206  1 Re 1.71
H 0.2245 0.5263 0.2693  1 Re 1.72
K 0.0000 0.2618 0.5000  10 H 2.59-2.79
H 0.3768 0.5104 0.5000  1 Re 1.69
H 0.5263 0.2245 0.7307  1 Re 1.72
H 0.6982 0.4737 0.2694  1 Re 1.72
H 0.3018 0.7754 0.2694  1 Re 1.71
Re 0.6667 0.3333 0.5000  9 H 1.69-1.72
H 0.4737 0.6982 0.7306  1 Re 1.72
K 0.7382 0.7382 0.5000  10 H 2.59-2.79
K 0.5889 0.0000 0.0000  14 H 2.83-2.92
H 0.2245 0.5263 0.7307  1 Re 1.72
H 0.1321 0.1321 0.2207  1 Re 1.71
H 0.6982 0.4737 0.7306  1 Re 1.72
K 0.4111 0.4111 0.0000  14 H 2.83-2.91
K 0.2618 0.0000 0.5000  10 H 2.59-2.79
Re 0.9998 0.9998 0.0000  9 H 1.69-1.71

[2]
The following is a DFT calculation (PBE) of K3ZnH6 after structural relaxation.

Unit cell a=5.6470 b=5.7305 c=6.0818 alpha=115.88 beta=92.56 gamma=117.10
With the nearest neighbours (Å) after each atom.
Fractional positions:
K 0.2620 0.5242 0.7679  6 H 2.63-2.82
H 0.7724 0.5834 0.7213  1 Zn 1.92
Zn 0.0000 0.0000 0.0000  4 H 1.68-1.75
K 0.5000 0.0000 0.5000  6 H 2.50-2.56
H 0.1594 0.8897 0.1385  1 Zn 1.68
H 0.2504 0.0648 0.8382  1 Zn 1.75
K 0.7380 0.4758 0.2321  6 H 2.63-2.82
H 0.7496 0.9352 0.1618  1 Zn 1.75
H 0.8406 0.1103 0.8615  1 Zn 1.68
H 0.2276 0.4166 0.2787  1 Zn 1.92

[3]
The following is a DFT calculation (PBE) of K3ZrH6 after structural relaxation.

Unit cell a=6.3249 b=6.3249 c=6.3249 alpha=60.00 beta=60.00 gamma=60.00
With the nearest neighbours (Å) after each atom.
Fractional positions:
K 0.2500 0.2500 0.2500  12 H 3.17
Zr 0.0000 0.0000 0.0000  6 H 2.01
H 0.2242 0.2242 0.7758  1 Zr 2.01
H 0.2242 0.7758 0.7758  1 Zr 2.01
K 0.5000 0.5000 0.5000  6 H 2.47
K 0.7500 0.7500 0.7500  12 H 3.17
H 0.7758 0.2242 0.2242  1 Zr 2.01
H 0.7758 0.7758 0.2242  1 Zr 2.01
H 0.7758 0.2242 0.7758  1 Zr 2.01
H 0.2242 0.7758 0.2242  1 Zr 2.01

[4]
The following is a DFT calculation (PBE) of KZrH4 after structural relaxation.

Unit cell a=6.0439 b=6.0439 c=6.0439 alpha=125.36 beta=125.36 gamma=80.95
With the nearest neighbours (Å) after each atom.
Fractional positions:
H 0.8749 0.4424 0.0640  1 H 2.04, 2 Zr 2.07
H 0.1891 0.1251 0.5676  1 H 2.04, 2 Zr 2.07
H 0.5575 0.6215 0.4324  1 H 2.04, 2 Zr 2.07
K 0.7500 0.2500 0.5000  8 H 2.50-2.53
H 0.8751 0.8076 0.4360  1 H 2.04, 2 Zr 2.07
H 0.3785 0.8109 0.9360  1 H 2.04, 2 Zr 2.07
Zr 0.5000 0.5000 0.0000  8 H 2.07
K 0.0000 0.0000 0.0000  8 H 2.50-2.53
H 0.1924 0.6285 0.0676  1 H 2.04, 2 Zr 2.07
H 0.5609 0.1249 0.9324  1 H 2.04, 2 Zr 2.07
Zr 0.2500 0.7500 0.5000  8 H 2.07
H 0.3715 0.4391 0.5640  1 H 2.04, 2 Zr 2.07

[5]
The following is a DFT calculation (PBE) of LaLuH6 after structural relaxation.

Unit cell a=3.6214 b=3.6214 c=5.4432 alpha=90.00 beta=90.00 gamma=90.00
With the nearest neighbours (Å) after each atom.
Fractional positions:
H 0.0000 0.0000 0.0000  8 H 2.18
H 0.0000 0.5000 0.7761  5 H 2.18-2.44, 2 Lu 2.18, 2 La 2.35
H 0.5000 0.0000 0.2239  5 H 2.18-2.44, 2 Lu 2.18, 2 La 2.35
Lu 0.5000 0.5000 0.0000  8 H 2.18
La 0.0000 0.0000 0.5000  12 H 2.35-2.56
H 0.5000 0.0000 0.7761  5 H 2.18-2.44, 2 Lu 2.18, 2 La 2.35
H 0.0000 0.5000 0.2239  5 H 2.18-2.44, 2 Lu 2.18, 2 La 2.35
H 0.5000 0.5000 0.5000  8 H 2.35, 4 La 2.56

[6]
The following is a DFT calculation (PBE) of La2NbHO6 after structural relaxation.

Unit cell a=7.0652 b=6.7835 c=11.9841 alpha=90.00 beta=121.74 gamma=90.00
With the nearest neighbours (Å) after each atom.
Fractional positions:
O 0.2264 0.0798 0.0285  1 Nb 1.89
O 0.7736 0.5798 0.4715  1 Nb 1.89
O 0.1246 0.6540 0.0757  2 Nb 2.08-2.19
La 0.4621 0.7357 0.5807  8 O 2.45-2.73, 1 H 2.71
O 0.1460 0.2357 0.7113  1 Nb 1.99
La 0.0813 0.5819 0.7115  8 O 2.39-2.65, 1 H 2.65
La 0.9187 0.0819 0.7885  8 O 2.39-2.65, 1 H 2.65
O 0.4921 0.5767 0.7862  1 Nb 1.96
Nb 0.7912 0.8439 0.4263  5 O 1.89-2.08
O 0.8540 0.7643 0.2887  1 Nb 1.99
Nb 0.7912 0.6561 0.9263  5 O 1.89-2.08
La 0.4621 0.7643 0.0807  8 O 2.45-2.73, 1 H 2.71
H 0.3580 0.6139 0.3028  1 O 0.98
Nb 0.2088 0.1561 0.5737  5 O 1.89-2.08
H 0.6420 0.3861 0.6972  1 O 0.98
O 0.2885 0.6128 0.3552  1 H 0.98
O 0.7246 0.9531 0.5602  1 Nb 2.03
H 0.6420 0.1139 0.1972  1 O 0.98
O 0.7246 0.5469 0.0602  1 Nb 2.03
La 0.0813 0.9181 0.2115  8 O 2.39-2.65, 1 H 2.65
O 0.5079 0.4233 0.2138  1 Nb 1.96
O 0.2754 0.0469 0.4398  1 Nb 2.03
O 0.7115 0.3872 0.6448  1 H 0.98
O 0.8754 0.3460 0.9243  2 Nb 2.08-2.19
La 0.5379 0.2643 0.4193  8 O 2.45-2.73, 1 H 2.71
O 0.4921 0.9233 0.2862  1 Nb 1.96
O 0.8540 0.7357 0.7887  1 Nb 1.99
O 0.7736 0.9202 0.9715  1 Nb 1.89
O 0.5079 0.0767 0.7138  1 Nb 1.96
La 0.5379 0.2357 0.9193  8 O 2.45-2.73, 1 H 2.71
O 0.2264 0.4202 0.5285  1 Nb 1.89
Nb 0.2088 0.3439 0.0737  5 O 1.89-2.08
La 0.9187 0.4181 0.2885  8 O 2.39-2.65, 1 H 2.65
H 0.3580 0.8861 0.8028  1 O 0.98
O 0.8754 0.1540 0.4243  2 Nb 2.08-2.19
O 0.2885 0.8872 0.8552  1 H 0.98
O 0.1460 0.2643 0.2113  1 Nb 1.99
O 0.2754 0.4531 0.9398  1 Nb 2.03
O 0.1246 0.8460 0.5757  2 Nb 2.08-2.19
O 0.7115 0.1128 0.1448  1 H 0.98

[7]
The following is a DFT calculation (PBE) of LaNb2HOs after structural relaxation.

Unit cell a=8.5390 b=8.5390 c=8.5390 alpha=157.03 beta=157.03 gamma=32.71
With the nearest neighbours (Å) after each atom.
Fractional positions:
H 0.7500 0.2500 0.5000  4 La 2.40
Nb 0.5779 0.5779 0.0000  1 Nb 2.55, 4 Os 2.72
La 0.2500 0.7500 0.5000  4 H 2.40
Os 0.0000 0.0000 0.0000  8 Nb 2.72
Nb 0.4221 0.4221 0.0000  1 Nb 2.55, 4 Os 2.72

[8]
The following is a DFT calculation (PBE) of LaNdH6 after structural relaxation.

Unit cell a=4.4869 b=4.4869 c=4.4869 alpha=89.39 beta=89.39 gamma=89.39
With the nearest neighbours (Å) after each atom.
Fractional positions:
H 0.1500 0.5131 0.1500  1 H 1.92
Nd 0.5000 0.5000 0.5000  6 H 2.23
H 0.8500 0.8500 0.4869  1 H 1.92
H 0.4869 0.8500 0.8500  1 H 1.92
H 0.1500 0.1500 0.5131  1 H 1.92
H 0.8500 0.4869 0.8500  1 H 1.92
La 0.0000 0.0000 0.0000  12 H 2.37-2.51
H 0.5131 0.1500 0.1500  1 H 1.92

Record-wise uncorrected energy values, in eV/atom: -4.009; -2.425; -3.329; -4.058; -4.250; -8.180; -7.600; -4.045